## w
MnAgIr3 | GGA-PBE | relaxed

```
MnAgIr3
1.0
-2.666 -1.419 -3.300
-2.908 -1.559 3.021
-2.108 3.945 0.007
Ir Mn Ag
3 1 1
Cartesian
-1.333 -0.710 -1.650
-1.454 -0.779 1.510
-1.054 1.973 0.003
0.000 0.000 0.000
-3.841 0.484 -0.136
```

## x
MnAgIr3 | GGA-PBE | relaxed

```
MnAgIr3
1.0
-3.516 3.256 -0.018
-2.426 -2.637 -3.183
-2.173 -2.326 3.582
Ir Mn Ag
3 1 1
Cartesian
-1.213 -1.318 -1.591
-1.086 -1.163 1.791
-1.758 1.628 -0.009
-4.057 -0.853 0.191
0.000 0.000 0.000
```

The most stable arrangement is w, and the next structure is 1073 meV/atom less stable.

## w
AgMo2Ir | GGA-PBE | relaxed

```
AgMo2Ir
1.0
-1.559 0.810 -2.115
-3.265 -0.167 2.344
0.806 5.508 1.515
Ir Ag Mo
1 1 2
Cartesian
-1.788 4.592 1.289
0.403 2.757 0.758
0.793 5.422 1.492
-2.219 1.641 0.478
```

## x
AgMo2Ir | GGA-PBE | relaxed

```
AgMo2Ir
1.0
-3.325 -2.577 1.582
-4.243 1.479 -0.124
-2.947 -1.860 -2.839
Ag Mo Ir
1 2 1
Cartesian
0.000 0.000 0.000
-2.629 -0.740 -0.345
-7.886 -2.219 -1.035
-5.257 -1.479 -0.690
```

The most stable arrangement is w, and the next structure is 342 meV/atom less stable.

## w
AgMo2Ir | GGA-PBE | relaxed

```
AgMo2Ir
1.0
4.848 0.005 0.000
1.543 4.596 0.000
-3.196 -2.300 2.829
Mo Ag Ir
2 1 1
Cartesian
0.771 2.298 1.414
0.000 0.000 0.000
3.196 2.300 0.000
2.424 0.002 1.414
```

## x
AgMo2Ir | GGA-PBE | relaxed

```
AgMo2Ir
1.0
-1.760 4.126 -2.158
-4.050 2.495 -1.466
-0.813 2.738 3.764
Ag Mo Ir
1 2 1
Cartesian
-4.967 7.019 0.105
-3.332 4.657 -0.052
-5.790 6.643 -3.501
-1.656 2.340 0.035
```

The most stable arrangement is x, and the next structure is 30 meV/atom less stable.

## w
AgMo2Ir | GGA-PBE | relaxed

```
AgMo2Ir
1.0
-0.882 -2.185 -1.407
2.357 -1.299 0.543
-3.367 -3.171 7.034
Mo Ir Ag
2 1 1
Cartesian
-1.742 -1.640 3.639
-3.309 -3.116 6.913
-1.788 -4.120 4.843
-0.105 -2.535 1.326
```

## x
AgMo2Ir | GGA-PBE | relaxed

```
AgMo2Ir
1.0
2.757 0.000 0.000
0.000 4.112 0.000
0.000 0.000 5.547
Mo Ag Ir
2 1 1
Cartesian
0.000 0.000 5.451
0.000 0.000 2.869
1.378 2.056 1.387
1.378 2.056 4.160
```

## y
AgMo2Ir | GGA-PBE | relaxed

```
AgMo2Ir
1.0
-2.695 -0.622 1.790
1.882 -0.516 2.654
-0.401 5.794 1.411
Mo Ag Ir
2 1 1
Cartesian
-0.499 0.764 2.547
-0.397 5.739 1.398
-0.202 2.924 0.712
-0.717 3.920 3.315
```

## z
AgMo2Ir | GGA-PBE | relaxed

```
AgMo2Ir
1.0
-7.967 4.596 2.844
-9.164 2.716 1.154
-8.600 2.050 3.811
Mo Ag Ir
2 1 1
Cartesian
-0.113 0.041 0.034
-6.487 2.360 1.969
-12.827 4.667 3.893
-19.168 6.975 5.817
```

The most stable arrangement is w, and the next structure is 13 meV/atom less stable.

## w
Ag2MoIr | GGA-PBE | relaxed

```
Ag2MoIr
1.0
4.984 0.000 0.000
0.000 2.774 0.008
0.000 0.184 4.764
Mo Ir Ag
1 1 2
Cartesian
2.492 2.219 3.579
2.492 0.740 1.193
0.000 1.446 2.385
0.000 0.033 0.001
```

## x
Ag2MoIr | GGA-PBE | relaxed

```
Ag2MoIr
1.0
0.000 3.187 3.187
3.187 0.000 3.187
3.187 3.187 0.000
Ir Ag Mo
1 2 1
Cartesian
3.187 3.187 3.187
1.593 1.593 1.593
4.780 4.780 4.780
0.000 0.000 0.000
```

The most stable arrangement is w, and the next structure is 317 meV/atom less stable.

## w
Ag2MoIr | GGA-PBE | relaxed

```
Ag2MoIr
1.0
-3.302 -1.805 -3.640
1.851 -3.225 3.685
-2.141 0.632 1.628
Ag Ir Mo
2 1 1
Cartesian
-0.725 -2.515 0.023
0.000 0.000 0.000
-2.721 -0.586 -1.006
-0.145 -1.297 2.657
```

## x
Ag2MoIr | GGA-PBE | relaxed

```
Ag2MoIr
1.0
-1.342 1.762 1.682
-3.811 -0.837 -2.163
-1.018 -3.946 3.321
Mo Ir Ag
1 1 2
Cartesian
-3.340 -2.497 2.250
-2.831 -0.524 0.589
-0.509 -1.973 1.660
0.000 0.000 0.000
```

The most stable arrangement is x, and the next structure is 45 meV/atom less stable.

## w
Ag2Ir2N | GGA-PBE | relaxed

```
Ag2Ir2N
1.0
-5.048 -2.359 -0.399
-0.276 -0.351 5.568
-2.133 4.534 0.180
Ag N Ir
4 2 4
Cartesian
-3.481 -1.667 0.730
-4.328 -2.173 3.458
-1.843 -1.043 4.439
-0.996 -0.537 1.711
-2.662 -1.355 2.584
0.000 0.000 0.000
-4.645 0.409 4.485
-2.813 1.415 0.863
-5.384 0.175 1.632
-2.073 1.650 3.717
```

## x
Ag2Ir2N | GGA-PBE | relaxed

```
Ag2Ir2N
1.0
3.489 0.000 0.000
0.000 3.489 0.000
1.745 1.745 7.363
Ir Ag N
2 2 1
Cartesian
1.745 3.489 3.681
3.489 1.745 3.681
1.745 1.745 1.342
3.489 3.489 6.020
0.000 0.000 0.000
```

The most stable arrangement is w, and the next structure is 8 meV/atom less stable.

## w
AgIr3N | GGA-PBE | relaxed

```
AgIr3N
1.0
4.122 0.000 0.000
0.000 4.122 0.000
0.000 0.000 4.122
Ag N Ir
1 1 3
Cartesian
2.061 2.061 2.061
0.000 0.000 0.000
2.061 0.000 0.000
0.000 0.000 2.061
0.000 2.061 0.000
```

## x
AgIr3N | GGA-PBE | relaxed

```
AgIr3N
1.0
4.831 0.000 0.000
0.000 4.831 0.000
0.000 0.000 4.831
N Ir Ag
1 3 1
Cartesian
2.415 2.415 2.415
0.000 0.000 2.415
2.415 0.000 0.000
0.000 2.415 0.000
0.000 0.000 0.000
```

The most stable arrangement is w, and the next structure is 3078 meV/atom less stable.